Record 1
The following is a DFT calculation (PBE-GGA) of an optimized crystal structure of MnC8N6.

Geometry as CIF:
```
data_MnC8N6
_chemical_formula_sum 'Mn1 C8 N6'
_cell_length_a 7.2532
_cell_length_b 7.2532
_cell_length_c 5.6692
_cell_angle_alpha 90.00
_cell_angle_beta 90.00
_cell_angle_gamma 120.00
_space_group_name_H-M_alt 'P -3 m 1'
_space_group_IT_number 164
_space_group_name_Hall '-P 3 2"'
loop_
_atom_site_label
_atom_site_type_symbol
_atom_site_fract_x
_atom_site_fract_y
_atom_site_fract_z
_atom_site_occupancy
Mn1 Mn 0.0000 0.0000 0.0000 1
C1 C 0.2223 0.4445 0.7805 1
C2 C 0.3333 0.6667 0.7554 1
N1 N 0.1303 0.2606 0.8171 1
```

## Properties
ΔE_f (raw) in meV per atom: 383
Theoretical density in kg/m3: 1511
Energy above the lowest structure with this stoichiometry in meV per atom: 2.4
E in eV/atom: -8.48

***

Record 2
The following is a DFT calculation (PBE-GGA) of an optimized crystal structure of MnNbC2N.

Geometry as CIF:
```
data_MnNbC2N
_chemical_formula_sum 'Mn1 Nb1 C2 N1'
_cell_length_a 3.428
_cell_length_b 3.428
_cell_length_c 5.213
_cell_angle_alpha 90.00
_cell_angle_beta 90.00
_cell_angle_gamma 90.00
_space_group_name_H-M_alt 'P 4/m m m'
_space_group_IT_number 123
_space_group_name_Hall '-P 4 2'
loop_
_atom_site_label
_atom_site_type_symbol
_atom_site_fract_x
_atom_site_fract_y
_atom_site_fract_z
_atom_site_occupancy
Mn1 Mn 0.000 0.000 0.000 1
Nb1 Nb 0.000 0.000 0.500 1
C1 C 0.000 0.500 0.000 1
N1 N 0.500 0.500 0.500 1
```

## Properties
ΔE_f (raw) in meV per atom: 1338
Theoretical density in kg/m3: 5038
E in eV/atom: -7.86

***

What is the E in the first record?
-8.48 eV/atom

***

Which of these has the lowest ΔE_f (raw)?
MnC8N6